PBE-GGA Ho2TlAg3, optimized geometry; density of states at the Fermi level = 8.40 states/eV per cell; SG = Fmmm (69); energy relative to the elements = -244 meV per atom
1.0
0.0000 4.8498 8.4968
3.3234 0.0000 8.4968
3.3234 4.8498 0.0000
Ho Tl Ag
4 2 6
Direct
0.2456 0.7544 0.7544
0.2500 0.2500 0.2500
0.7500 0.7500 0.7500
0.7544 0.2456 0.2456
0.3337 0.3337 0.6663
0.6663 0.6663 0.3337
0.1655 0.1655 0.8345
0.1649 0.6718 0.3282
0.3282 0.8351 0.1649
0.6718 0.1649 0.8351
0.8351 0.3282 0.6718
0.8345 0.8345 0.1655

---

PBE-GGA Ho5Tl6Ag, optimized geometry; density of states at the Fermi level = 6.87 states/eV per cell; SG = Immm (71); energy relative to the elements = -263 meV per atom
1.0
-2.5979 3.7967 8.0271
2.5979 -3.7967 8.0271
2.5979 3.7967 -8.0271
Ho Tl Ag
5 6 1
Direct
0.0000 0.0000 0.0000
0.1722 0.6722 0.5000
0.3481 0.3481 0.0000
0.6519 0.6519 0.0000
0.8278 0.3278 0.5000
0.0839 0.8347 0.2492
0.2451 0.5000 0.7451
0.4144 0.1653 0.2492
0.5856 0.8347 0.7508
0.7549 0.5000 0.2549
0.9161 0.1653 0.7508
0.5000 0.0000 0.5000

---

PBE-GGA HoTlAg3, optimized geometry; density of states at the Fermi level = 5.24 states/eV per cell; SG = Cmmm (65); energy relative to the elements = 3 meV per atom
1.0
2.3534 -14.3314 0.0000
2.3534 14.3314 0.0000
0.0000 0.0000 3.3832
Ho Tl Ag
2 2 6
Direct
0.1800 0.8200 0.0000
0.8200 0.1800 0.0000
0.3743 0.6257 0.5000
0.6257 0.3743 0.5000
0.0529 0.9471 0.5000
0.2741 0.7259 0.5000
0.4540 0.5460 0.0000
0.5460 0.4540 0.0000
0.7259 0.2741 0.5000
0.9471 0.0529 0.5000

---

PBE-GGA Ho5Tl2Ag2, optimized geometry; density of states at the Fermi level = 18.71 states/eV per cell; SG = Cmce (64); energy relative to the elements = -236 meV per atom
1.0
7.8195 -4.3288 0.0000
7.8195 4.3288 0.0000
0.0000 0.0000 7.2863
Ho Tl Ag
10 4 4
Direct
0.0000 0.0000 0.0000
0.0519 0.6839 0.6553
0.1839 0.5519 0.1553
0.3161 0.9481 0.6553
0.4481 0.8161 0.1553
0.5000 0.5000 0.5000
0.5519 0.1839 0.8447
0.6839 0.0519 0.3447
0.8161 0.4481 0.8447
0.9481 0.3161 0.3447
0.2096 0.2096 0.0000
0.2904 0.2904 0.5000
0.7096 0.7096 0.5000
0.7904 0.7904 0.0000
0.1266 0.8734 0.3719
0.3734 0.6266 0.8719
0.6266 0.3734 0.1281
0.8734 0.1266 0.6281

---

PBE-GGA Ho3Tl3Ag2, optimized geometry; density of states at the Fermi level = 4.08 states/eV per cell; SG = P-62m (189); energy relative to the elements = -282 meV per atom
1.0
7.8839 0.0000 0.0000
-3.9420 6.8277 0.0000
0.0000 0.0000 3.7562
Ho Tl Ag
3 3 2
Direct
0.0000 0.3981 0.0000
0.3981 0.0000 0.0000
0.6019 0.6019 0.0000
0.0000 0.7552 0.5000
0.2448 0.2448 0.5000
0.7552 0.0000 0.5000
0.3333 0.6667 0.5000
0.6667 0.3333 0.5000

---

PBE-GGA HoTl2Ag, optimized geometry; density of states at the Fermi level = 4.10 states/eV per cell; SG = I4/mmm (139); energy relative to the elements = -214 meV per atom
1.0
-2.3713 2.3713 8.7052
2.3713 -2.3713 8.7052
2.3713 2.3713 -8.7052
Ho Tl Ag
2 4 2
Direct
0.1314 0.1314 0.0000
0.8686 0.8686 0.0000
0.0000 0.5000 0.5000
0.3546 0.3546 0.0000
0.5000 0.0000 0.5000
0.6454 0.6454 0.0000
0.2500 0.7500 0.5000
0.7500 0.2500 0.5000

---

PBE-GGA Ho2TmTl2Ag2, optimized geometry; density of states at the Fermi level = 6.67 states/eV per cell; SG = R-3m (166); energy relative to the elements = -117 meV per atom
1.0
2.4460 1.4122 8.5068
-2.4460 1.4122 8.5068
0.0000 -2.8244 8.5068
Ho Tm Tl Ag
2 1 2 2
Direct
0.1323 0.1323 0.1323
0.8677 0.8677 0.8677
0.0000 0.0000 0.0000
0.2667 0.2667 0.2667
0.7333 0.7333 0.7333
0.4331 0.4331 0.4331
0.5669 0.5669 0.5669

---

PBE-GGA YHo2Tl2Ag2, optimized geometry; density of states at the Fermi level = 7.12 states/eV per cell; SG = R-3m (166); energy relative to the elements = -152 meV per atom
1.0
2.4478 1.4132 8.5926
-2.4478 1.4132 8.5926
0.0000 -2.8265 8.5926
Y Ho Tl Ag
1 2 2 2
Direct
0.0000 0.0000 0.0000
0.1330 0.1330 0.1330
0.8670 0.8670 0.8670
0.2652 0.2652 0.2652
0.7348 0.7348 0.7348
0.4348 0.4348 0.4348
0.5652 0.5652 0.5652